The following is a DFT calculation (PBE-GGA) of Cs4Pu3TiSe8 after structural relaxation.

Cell lengths 8.4518, 8.4518, 25.0123 Å; angles 90.00, 90.00, 120.00 degrees
Space group R-3m (No. 166, hexagonal axes)
Asymmetric unit:
Cs 0.0000 0.0000 0.0000
Cs 0.0000 0.5000 0.0000
Pu 0.0000 0.5000 0.5000
Ti 0.0000 0.0000 0.5000
Se 0.0000 0.0000 0.2293
Se 0.0209 0.5105 0.2263

Calculated values
crystal system = trigonal
E_tot = -0.23814 Ha/atom
E_form (uncorrected) = -30.989 kcal/mol of atoms



The following is a DFT calculation (PBE-GGA) of CsLiGeSe3 after structural relaxation.

Cell lengths 9.8648, 10.4007, 9.0420 Å; angles 90.00, 102.56, 90.00 degrees
Space group C2/m (No. 12)
Asymmetric unit:
Cs 0.2143 0.0000 0.1612
Li 0.0000 0.2928 0.5000
Ge 0.1833 0.0000 0.6921
Se 0.0904 0.1860 0.7611
Se 0.1309 0.5000 0.4223

Calculated values
crystal system = monoclinic
E_tot = -0.13771 Ha/atom
E_form (uncorrected) = -17.855 kcal/mol of atoms



The following is a DFT calculation (PBE-GGA) of YThBiSb after structural relaxation.

Cell lengths 4.5012, 4.5012, 21.9363 Å; angles 90.00, 90.00, 120.00 degrees
Space group R3m (No. 160, hexagonal axes)
Asymmetric unit:
Y 0.0000 0.0000 0.0000
Th 0.0000 0.0000 0.4943
Bi 0.0000 0.0000 0.2499
Sb 0.0000 0.0000 0.7441

Calculated values
crystal system = trigonal
E_tot = -0.23365 Ha/atom
E_form (uncorrected) = -20.437 kcal/mol of atoms



The following is a DFT calculation (PBE-GGA) of ReAg2HgS after structural relaxation.

Cell lengths 4.8526, 4.8526, 4.3951 Å; angles 90.00, 90.00, 90.00 degrees
Space group P4/mmm (No. 123)
Asymmetric unit:
Re 0.0000 0.0000 0.0000
Ag 0.0000 0.5000 0.5000
Hg 0.5000 0.5000 0.0000
S 0.0000 0.0000 0.5000

Calculated values
crystal system = tetragonal
E_tot = -0.13683 Ha/atom
E_form (uncorrected) = 18.281 kcal/mol of atoms



The following is a DFT calculation (PBE-GGA) of TbPmTlRu after structural relaxation.

Cell lengths 3.4249, 3.4249, 8.5311 Å; angles 90.00, 90.00, 90.00 degrees
Space group P4mm (No. 99)
Asymmetric unit:
Tb 0.0000 0.0000 0.0000
Pm 0.0000 0.0000 0.4013
Tl 0.5000 0.5000 0.7055
Ru 0.5000 0.5000 0.1938

Calculated values
DFT formation energy = -1.38 eV per formula unit
crystal system = tetragonal
E_tot = -0.20582 Ha/atom



The following is a DFT calculation (PBE-GGA) of CsTlBr2 after structural relaxation.

Cell lengths 4.8491, 4.8491, 8.6028 Å; angles 90.00, 90.00, 120.00 degrees
Space group P-6m2 (No. 187)
Asymmetric unit:
Cs 0.0000 0.0000 0.0000
Tl 0.3333 0.6667 0.5000
Br 0.6667 0.3333 0.2671

Calculated values
crystal system = hexagonal
E_tot = -0.10782 Ha/atom
E_form (uncorrected) = -29.804 kcal/mol of atoms